DFT (PBE-GGA) results for crystalline NiSbI2N at its relaxed geometry. Values from VASP.

Output
Crystal system = tetragonal
Polymorph energy (0 for the lowest one) = 0 meV/atom
Formation energy from raw total energies = 0.62 eV/atom
Size of the total moment = 0.46 Bohr magnetons per cell

```
&SYSTEM
  ibrav = 0, nat = 5, ntyp = 4
/
ATOMIC_SPECIES
Ni 58.69 Ni.upf
Sb 121.76 Sb.upf
I 126.90 I.upf
N 14.01 N.upf
CELL_PARAMETERS angstrom
5.717 0.000 0.000
0.000 5.717 0.000
0.000 0.000 3.532
ATOMIC_POSITIONS crystal
Ni 0.000 0.000 0.000
Sb 0.500 0.500 0.500
I 0.000 0.500 0.000
I 0.500 0.000 0.000
N 0.000 0.000 0.500
```

---

DFT (PBE-GGA) results for crystalline NiSbI2N at its relaxed geometry. Values from VASP.

Output
Crystal system = tetragonal
Polymorph energy (0 for the lowest one) = 644 meV/atom
Formation energy from raw total energies = 1.27 eV/atom
Size of the total moment = 0.88 Bohr magnetons per cell

```
&SYSTEM
  ibrav = 0, nat = 5, ntyp = 4
/
ATOMIC_SPECIES
Ni 58.69 Ni.upf
Sb 121.76 Sb.upf
I 126.90 I.upf
N 14.01 N.upf
CELL_PARAMETERS angstrom
4.810 0.000 0.000
0.000 4.810 0.000
0.000 0.000 4.885
ATOMIC_POSITIONS crystal
Ni 0.000 0.000 0.000
Sb 0.500 0.500 0.000
I 0.000 0.500 0.500
I 0.500 0.000 0.500
N 0.500 0.500 0.500
```

---

DFT (PBE-GGA) results for crystalline NiSbI2N at its relaxed geometry. Values from VASP.

Output
Crystal system = tetragonal
Polymorph energy (0 for the lowest one) = 476 meV/atom
Formation energy from raw total energies = 1.10 eV/atom
Size of the total moment = 0.96 Bohr magnetons per cell

```
&SYSTEM
  ibrav = 0, nat = 5, ntyp = 4
/
ATOMIC_SPECIES
Ni 58.69 Ni.upf
Sb 121.76 Sb.upf
I 126.90 I.upf
N 14.01 N.upf
CELL_PARAMETERS angstrom
6.086 0.000 0.000
0.000 6.086 0.000
0.000 0.000 3.940
ATOMIC_POSITIONS crystal
Ni 0.000 0.000 0.000
Sb 0.500 0.500 0.500
I 0.000 0.500 0.500
I 0.500 0.000 0.500
N 0.500 0.500 0.000
```

---

DFT (PBE-GGA) results for crystalline NiSbIN2 at its relaxed geometry. Values from VASP.

Output
Crystal system = tetragonal
Polymorph energy (0 for the lowest one) = 138 meV/atom
Formation energy from raw total energies = 1.56 eV/atom
Size of the total moment = 2.76 Bohr magnetons per cell

```
&SYSTEM
  ibrav = 0, nat = 5, ntyp = 4
/
ATOMIC_SPECIES
Ni 58.69 Ni.upf
Sb 121.76 Sb.upf
I 126.90 I.upf
N 14.01 N.upf
CELL_PARAMETERS angstrom
4.135 0.000 0.000
0.000 4.135 0.000
0.000 0.000 5.154
ATOMIC_POSITIONS crystal
Ni 0.000 0.000 0.000
Sb 0.500 0.500 0.500
I 0.000 0.000 0.500
N 0.000 0.500 0.000
N 0.500 0.000 0.000
```

---

DFT (PBE-GGA) results for crystalline NiSbIN2 at its relaxed geometry. Values from VASP.

Output
Crystal system = tetragonal
Polymorph energy (0 for the lowest one) = 0 meV/atom
Formation energy from raw total energies = 1.42 eV/atom
Size of the total moment = 1.50 Bohr magnetons per cell

```
&SYSTEM
  ibrav = 0, nat = 5, ntyp = 4
/
ATOMIC_SPECIES
Ni 58.69 Ni.upf
Sb 121.76 Sb.upf
I 126.90 I.upf
N 14.01 N.upf
CELL_PARAMETERS angstrom
3.953 0.000 0.000
0.000 3.953 0.000
0.000 0.000 7.125
ATOMIC_POSITIONS crystal
Ni 0.000 0.000 0.000
Sb 0.500 0.500 0.500
I 0.500 0.500 0.000
N 0.000 0.500 0.500
N 0.500 0.000 0.500
```

---

DFT (PBE-GGA) results for crystalline NiSeIN2 at its relaxed geometry. Values from VASP.

Output
Crystal system = tetragonal
Polymorph energy (0 for the lowest one) = 89 meV/atom
Formation energy from raw total energies = 1.47 eV/atom
Size of the total moment = 0.61 Bohr magnetons per cell

```
&SYSTEM
  ibrav = 0, nat = 5, ntyp = 4
/
ATOMIC_SPECIES
Ni 58.69 Ni.upf
Se 78.96 Se.upf
I 126.90 I.upf
N 14.01 N.upf
CELL_PARAMETERS angstrom
3.768 0.000 0.000
0.000 3.768 0.000
0.000 0.000 7.760
ATOMIC_POSITIONS crystal
Ni 0.000 0.000 0.000
Se 0.500 0.500 0.500
I 0.000 0.000 0.500
N 0.000 0.500 0.000
N 0.500 0.000 0.000
```

---

DFT (PBE-GGA) results for crystalline NiSeIN2 at its relaxed geometry. Values from VASP.

Output
Crystal system = tetragonal
Polymorph energy (0 for the lowest one) = 194 meV/atom
Formation energy from raw total energies = 1.58 eV/atom
Size of the total moment = 0.40 Bohr magnetons per cell

```
&SYSTEM
  ibrav = 0, nat = 5, ntyp = 4
/
ATOMIC_SPECIES
Ni 58.69 Ni.upf
Se 78.96 Se.upf
I 126.90 I.upf
N 14.01 N.upf
CELL_PARAMETERS angstrom
3.724 0.000 0.000
0.000 3.724 0.000
0.000 0.000 7.803
ATOMIC_POSITIONS crystal
Ni 0.000 0.000 0.000
Se 0.500 0.500 0.500
I 0.500 0.500 0.000
N 0.000 0.500 0.500
N 0.500 0.000 0.500
```

---

DFT (PBE-GGA) results for crystalline NiSeI2N at its relaxed geometry. Values from VASP.

Output
Crystal system = tetragonal
Polymorph energy (0 for the lowest one) = 452 meV/atom
Formation energy from raw total energies = 1.21 eV/atom
Size of the total moment = 1.07 Bohr magnetons per cell

```
&SYSTEM
  ibrav = 0, nat = 5, ntyp = 4
/
ATOMIC_SPECIES
Ni 58.69 Ni.upf
Se 78.96 Se.upf
I 126.90 I.upf
N 14.01 N.upf
CELL_PARAMETERS angstrom
5.882 0.000 0.000
0.000 5.882 0.000
0.000 0.000 3.671
ATOMIC_POSITIONS crystal
Ni 0.000 0.000 0.000
Se 0.500 0.500 0.500
I 0.000 0.500 0.500
I 0.500 0.000 0.500
N 0.500 0.500 0.000
```

---

DFT (PBE-GGA) results for crystalline NiSeI2N at its relaxed geometry. Values from VASP.

Output
Crystal system = tetragonal
Polymorph energy (0 for the lowest one) = 0 meV/atom
Formation energy from raw total energies = 0.75 eV/atom
Size of the total moment = 0.00 Bohr magnetons per cell

```
&SYSTEM
  ibrav = 0, nat = 5, ntyp = 4
/
ATOMIC_SPECIES
Ni 58.69 Ni.upf
Se 78.96 Se.upf
I 126.90 I.upf
N 14.01 N.upf
CELL_PARAMETERS angstrom
5.629 0.000 0.000
0.000 5.629 0.000
0.000 0.000 3.460
ATOMIC_POSITIONS crystal
Ni 0.000 0.000 0.000
Se 0.500 0.500 0.500
I 0.000 0.500 0.000
I 0.500 0.000 0.000
N 0.000 0.000 0.500
```

---

DFT (PBE-GGA) results for crystalline Ni2SeIN at its relaxed geometry. Values from VASP.

Output
Crystal system = tetragonal
Formation energy from raw total energies = 0.60 eV/atom
Size of the total moment = 0.00 Bohr magnetons per cell

```
&SYSTEM
  ibrav = 0, nat = 5, ntyp = 4
/
ATOMIC_SPECIES
Ni 58.69 Ni.upf
Se 78.96 Se.upf
I 126.90 I.upf
N 14.01 N.upf
CELL_PARAMETERS angstrom
3.768 0.000 0.000
0.000 3.768 0.000
0.000 0.000 7.682
ATOMIC_POSITIONS crystal
Ni 0.000 0.500 0.000
Ni 0.500 0.000 0.000
Se 0.000 0.000 0.500
I 0.500 0.500 0.500
N 0.000 0.000 0.000
```

---

DFT (PBE-GGA) results for crystalline NiSeIN2 at its relaxed geometry. Values from VASP.

Output
Crystal system = tetragonal
Polymorph energy (0 for the lowest one) = 576 meV/atom
Formation energy from raw total energies = 1.96 eV/atom
Size of the total moment = 0.87 Bohr magnetons per cell

```
&SYSTEM
  ibrav = 0, nat = 5, ntyp = 4
/
ATOMIC_SPECIES
Ni 58.69 Ni.upf
Se 78.96 Se.upf
I 126.90 I.upf
N 14.01 N.upf
CELL_PARAMETERS angstrom
3.866 0.000 0.000
0.000 3.866 0.000
0.000 0.000 6.188
ATOMIC_POSITIONS crystal
Ni 0.000 0.000 0.000
Se 0.500 0.500 0.000
I 0.500 0.500 0.500
N 0.000 0.500 0.500
N 0.500 0.000 0.500
```

---

DFT (PBE-GGA) results for crystalline NiSeIN2 at its relaxed geometry. Values from VASP.

Output
Crystal system = tetragonal
Polymorph energy (0 for the lowest one) = 0 meV/atom
Formation energy from raw total energies = 1.38 eV/atom
Size of the total moment = 3.96 Bohr magnetons per cell

```
&SYSTEM
  ibrav = 0, nat = 5, ntyp = 4
/
ATOMIC_SPECIES
Ni 58.69 Ni.upf
Se 78.96 Se.upf
I 126.90 I.upf
N 14.01 N.upf
CELL_PARAMETERS angstrom
3.925 0.000 0.000
0.000 3.925 0.000
0.000 0.000 5.513
ATOMIC_POSITIONS crystal
Ni 0.000 0.000 0.000
Se 0.000 0.000 0.500
I 0.500 0.500 0.500
N 0.000 0.500 0.000
N 0.500 0.000 0.000
```

---

What did the ninth record say?
DFT (PBE-GGA) results for crystalline NiSeI2N at its relaxed geometry. Values from VASP.

Output
Crystal system = tetragonal
Polymorph energy (0 for the lowest one) = 0 meV/atom
Formation energy from raw total energies = 0.75 eV/atom
Size of the total moment = 0.00 Bohr magnetons per cell

```
&SYSTEM
  ibrav = 0, nat = 5, ntyp = 4
/
ATOMIC_SPECIES
Ni 58.69 Ni.upf
Se 78.96 Se.upf
I 126.90 I.upf
N 14.01 N.upf
CELL_PARAMETERS angstrom
5.629 0.000 0.000
0.000 5.629 0.000
0.000 0.000 3.460
ATOMIC_POSITIONS crystal
Ni 0.000 0.000 0.000
Se 0.500 0.500 0.500
I 0.000 0.500 0.000
I 0.500 0.000 0.000
N 0.000 0.000 0.500
```